An optimized crystal structure of Pm4PaRh5, computed with PBE.

```
Pm4PaRh5
1.0
4.869 0.000 1.652
2.435 6.780 0.826
0.256 0.000 7.247
Pm Rh Pa
4 5 1
direct
0.508 0.288 0.711 Pm
0.220 0.289 0.288 Pm
0.796 0.711 0.712 Pm
0.508 0.712 0.289 Pm
0.215 0.625 0.000 Rh
0.421 0.000 0.000 Rh
0.214 0.000 0.625 Rh
0.840 0.375 0.000 Rh
0.840 0.000 0.375 Rh
0.927 0.000 0.000 Pa
```

Summary:
Symmetry: I4mm
D(E_F): 7.78 states/eV/cell
Energy of formation: -57.7 kJ/mol of atoms
Magnetization: 0.000 μB per atom
Total energy: -7.123 eV per atom